1.
# PBE-GGA CsHgGeS3, relaxed
data_CsHgGeS3
_cell_length_a 13.5421
_cell_length_b 7.6132
_cell_length_c 8.1207
_cell_angle_alpha 90.00
_cell_angle_beta 107.75
_cell_angle_gamma 90.00
_space_group_name_H-M_alt 'C 1 2/m 1'
_space_group_IT_number 12
_space_group_name_Hall '-C 2y'
loop_
_atom_site_label
_atom_site_fract_x
_atom_site_fract_y
_atom_site_fract_z
Cs1 0.1853 0.0000 0.2152
Hg1 0.0000 0.2580 0.5000
Ge1 0.0063 0.5000 0.1565
S1 0.0822 0.2544 0.8064
S2 0.1578 0.5000 0.3497
# energy relative to the elements, uncorrected = -13.21 kcal/mol of atoms
# crystal system = monoclinic
# total magnetization = 0.00 μB/f.u.

=====

2.
# PBE-GGA CsHg2GeSb, relaxed
data_CsHg2GeSb
_cell_length_a 5.7083
_cell_length_b 5.7083
_cell_length_c 5.6353
_cell_angle_alpha 90.00
_cell_angle_beta 90.00
_cell_angle_gamma 90.00
_space_group_name_H-M_alt 'P 4/m m m'
_space_group_IT_number 123
_space_group_name_Hall '-P 4 2'
loop_
_atom_site_label
_atom_site_fract_x
_atom_site_fract_y
_atom_site_fract_z
Cs1 0.0000 0.0000 0.0000
Hg1 0.0000 0.5000 0.5000
Ge1 0.5000 0.5000 0.5000
Sb1 0.5000 0.5000 0.0000
# energy relative to the elements, uncorrected = -0.48 kcal/mol of atoms
# crystal system = tetragonal
# total magnetization = 0.00 μB/f.u.

=====

3.
# PBE-GGA Cs2HgGeSe4, relaxed
data_Cs2HgGeSe4
_cell_length_a 6.6985
_cell_length_b 14.4641
_cell_length_c 25.6210
_cell_angle_alpha 90.00
_cell_angle_beta 90.00
_cell_angle_gamma 90.00
_space_group_name_H-M_alt 'F d d d'
_space_group_IT_number 70
loop_
_space_group_symop_operation_xyz
'x,y,z'
'-x,-y,-z'
'-x+1/4,-y+1/4,z'
'x+1/4,y+1/4,-z'
'x,-y+1/4,-z+1/4'
'-x,y+1/4,z+1/4'
'-x+1/4,y,-z+1/4'
'x+1/4,-y,z+1/4'
'x,y+1/2,z+1/2'
'-x,-y+1/2,-z+1/2'
'-x+1/4,-y+3/4,z+1/2'
'x+1/4,y+3/4,-z+1/2'
'x,-y+3/4,-z+3/4'
'-x,y+3/4,z+3/4'
'-x+1/4,y+1/2,-z+3/4'
'x+1/4,-y+1/2,z+3/4'
'x+1/2,y,z+1/2'
'-x+1/2,-y,-z+1/2'
'-x+3/4,-y+1/4,z+1/2'
'x+3/4,y+1/4,-z+1/2'
'x+1/2,-y+1/4,-z+3/4'
'-x+1/2,y+1/4,z+3/4'
'-x+3/4,y,-z+3/4'
'x+3/4,-y,z+3/4'
'x+1/2,y+1/2,z'
'-x+1/2,-y+1/2,-z'
'-x+3/4,-y+3/4,z'
'x+3/4,y+3/4,-z'
'x+1/2,-y+3/4,-z+1/4'
'-x+1/2,y+3/4,z+1/4'
'-x+3/4,y+1/2,-z+1/4'
'x+3/4,-y+1/2,z+1/4'
loop_
_atom_site_label
_atom_site_fract_x
_atom_site_fract_y
_atom_site_fract_z
Cs1 0.1250 0.1250 0.3059
Hg1 0.1250 0.1250 0.1250
Ge1 0.1250 0.1250 0.6250
Se1 0.0886 0.2796 0.8223
# energy relative to the elements, uncorrected = -16.50 kcal/mol of atoms
# crystal system = orthorhombic
# total magnetization = 0.00 μB/f.u.

=====

4.
# PBE-GGA CsHgGeSe3, relaxed
data_CsHgGeSe3
_cell_length_a 13.4814
_cell_length_b 7.9637
_cell_length_c 8.3404
_cell_angle_alpha 90.00
_cell_angle_beta 105.66
_cell_angle_gamma 90.00
_space_group_name_H-M_alt 'C 1 2/m 1'
_space_group_IT_number 12
_space_group_name_Hall '-C 2y'
loop_
_atom_site_label
_atom_site_fract_x
_atom_site_fract_y
_atom_site_fract_z
Cs1 0.1722 0.0000 0.2233
Hg1 0.0000 0.2745 0.5000
Ge1 0.0051 0.5000 0.8524
Se1 0.0949 0.2473 0.8103
Se2 0.1512 0.5000 0.3574
# energy relative to the elements, uncorrected = -12.76 kcal/mol of atoms
# crystal system = monoclinic
# total magnetization = 0.00 μB/f.u.

=====

5.
# PBE-GGA CsTaHgGe2, relaxed
data_CsTaHgGe2
_cell_length_a 5.0916
_cell_length_b 5.0916
_cell_length_c 6.6196
_cell_angle_alpha 90.00
_cell_angle_beta 90.00
_cell_angle_gamma 90.00
_space_group_name_H-M_alt 'P 4/m m m'
_space_group_IT_number 123
_space_group_name_Hall '-P 4 2'
loop_
_atom_site_label
_atom_site_fract_x
_atom_site_fract_y
_atom_site_fract_z
Cs1 0.0000 0.0000 0.0000
Ta1 0.0000 0.0000 0.5000
Hg1 0.5000 0.5000 0.0000
Ge1 0.0000 0.5000 0.5000
# crystal system = tetragonal
# energy of formation = 0.53 eV/atom
# total magnetization = 0.66 μB/f.u.

=====

6.
# PBE-GGA CsHg2GeTe4, relaxed
data_CsHg2GeTe4
_cell_length_a 7.2438
_cell_length_b 9.2498
_cell_length_c 9.8525
_cell_angle_alpha 90.00
_cell_angle_beta 90.00
_cell_angle_gamma 90.00
_space_group_name_H-M_alt 'I 2 2 2'
_space_group_IT_number 23
_space_group_name_Hall 'I 2 2'
loop_
_atom_site_label
_atom_site_fract_x
_atom_site_fract_y
_atom_site_fract_z
Cs1 0.0000 0.0000 0.0000
Hg1 0.0000 0.5000 0.1672
Ge1 0.0000 0.0000 0.5000
Te1 0.2061 0.1801 0.3361
# energy relative to the elements, uncorrected = -6.72 kcal/mol of atoms
# crystal system = orthorhombic
# total magnetization = 0.00 μB/f.u.

=====

7.
# PBE-GGA CsHgGeTe4, relaxed
data_CsHgGeTe4
_cell_length_a 7.4979
_cell_length_b 7.2459
_cell_length_c 11.2881
_cell_angle_alpha 90.00
_cell_angle_beta 106.81
_cell_angle_gamma 90.00
_space_group_name_H-M_alt 'P 1 21/m 1'
_space_group_IT_number 11
_space_group_name_Hall '-P 2yb'
loop_
_atom_site_label
_atom_site_fract_x
_atom_site_fract_y
_atom_site_fract_z
Cs1 0.2083 0.2500 0.0375
Hg1 0.2677 0.2500 0.6737
Ge1 0.2368 0.7500 0.3101
Te1 0.0000 0.0219 0.2959
Te2 0.3778 0.7500 0.1243
Te3 0.4654 0.2500 0.4911
# energy relative to the elements, uncorrected = -6.49 kcal/mol of atoms
# crystal system = monoclinic
# total magnetization = 0.00 μB/f.u.

=====

8.
# PBE-GGA Cs2HgGeTe4, relaxed
data_Cs2HgGeTe4
_cell_length_a 7.1339
_cell_length_b 15.0937
_cell_length_c 27.2923
_cell_angle_alpha 90.00
_cell_angle_beta 90.00
_cell_angle_gamma 90.00
_space_group_name_H-M_alt 'F d d d'
_space_group_IT_number 70
loop_
_space_group_symop_operation_xyz
'x,y,z'
'-x,-y,-z'
'-x+1/4,-y+1/4,z'
'x+1/4,y+1/4,-z'
'x,-y+1/4,-z+1/4'
'-x,y+1/4,z+1/4'
'-x+1/4,y,-z+1/4'
'x+1/4,-y,z+1/4'
'x,y+1/2,z+1/2'
'-x,-y+1/2,-z+1/2'
'-x+1/4,-y+3/4,z+1/2'
'x+1/4,y+3/4,-z+1/2'
'x,-y+3/4,-z+3/4'
'-x,y+3/4,z+3/4'
'-x+1/4,y+1/2,-z+3/4'
'x+1/4,-y+1/2,z+3/4'
'x+1/2,y,z+1/2'
'-x+1/2,-y,-z+1/2'
'-x+3/4,-y+1/4,z+1/2'
'x+3/4,y+1/4,-z+1/2'
'x+1/2,-y+1/4,-z+3/4'
'-x+1/2,y+1/4,z+3/4'
'-x+3/4,y,-z+3/4'
'x+3/4,-y,z+3/4'
'x+1/2,y+1/2,z'
'-x+1/2,-y+1/2,-z'
'-x+3/4,-y+3/4,z'
'x+3/4,y+3/4,-z'
'x+1/2,-y+3/4,-z+1/4'
'-x+1/2,y+3/4,z+1/4'
'-x+3/4,y+1/2,-z+1/4'
'x+3/4,-y+1/2,z+1/4'
loop_
_atom_site_label
_atom_site_fract_x
_atom_site_fract_y
_atom_site_fract_z
Cs1 0.1250 0.1250 0.3087
Hg1 0.1250 0.1250 0.1250
Ge1 0.1250 0.1250 0.6250
Te1 0.0957 0.2768 0.8202
# energy relative to the elements, uncorrected = -12.08 kcal/mol of atoms
# crystal system = orthorhombic
# total magnetization = 0.00 μB/f.u.